[1]
{
  "formula": "BaSrCd3",
  "functional": "GGA-PBE",
  "state": "optimized geometry",
  "lattice": [[2.199, -15.539, 0.000], [2.199, 15.539, 0.000], [0.000, 0.000, 5.098]],
  "species": ["Ba", "Ba", "Sr", "Sr", "Cd", "Cd", "Cd", "Cd", "Cd", "Cd"],
  "frac_coords": [[0.073, 0.927, 0.750], [0.927, 0.073, 0.250], [0.208, 0.792, 0.250], [0.792, 0.208, 0.750], [0.325, 0.675, 0.250], [0.379, 0.621, 0.750], [0.476, 0.524, 0.750], [0.524, 0.476, 0.250], [0.621, 0.379, 0.250], [0.675, 0.325, 0.750]],
  "formation_energy_kj_per_mol_atoms": -31,
  "de_polymorph_mev_per_atom": 0.0
}

---

[2]
{
  "formula": "Tm4ZnTe2",
  "functional": "GGA-PBE",
  "state": "optimized geometry",
  "lattice": [[7.592, 0.000, 0.000], [0.000, 11.896, 0.000], [0.000, 0.000, 4.412]],
  "species": ["Tm", "Tm", "Tm", "Tm", "Tm", "Tm", "Tm", "Tm", "Zn", "Zn", "Te", "Te", "Te", "Te"],
  "frac_coords": [[0.140, 0.212, 0.000], [0.205, 0.941, 0.500], [0.295, 0.441, 0.500], [0.360, 0.712, 0.000], [0.640, 0.288, 0.000], [0.705, 0.559, 0.500], [0.795, 0.059, 0.500], [0.860, 0.788, 0.000], [0.000, 0.000, 0.000], [0.500, 0.500, 0.000], [0.079, 0.671, 0.500], [0.421, 0.171, 0.500], [0.579, 0.829, 0.500], [0.921, 0.329, 0.500]],
  "formation_energy_uncorrected_ev_per_fu": -4.98
}

---

[3]
{
  "formula": "Ce2Pm3PrHo6",
  "functional": "GGA-PBE",
  "state": "optimized geometry",
  "lattice": [[3.098, -5.366, 0.000], [3.098, 5.366, 0.000], [-2.065, 0.000, 11.561]],
  "species": ["Ce", "Ce", "Pm", "Pm", "Pm", "Pr", "Ho", "Ho", "Ho", "Ho", "Ho", "Ho"],
  "frac_coords": [[0.167, 0.833, 0.000], [0.833, 0.167, 0.000], [0.000, 0.000, 0.500], [0.334, 0.666, 0.500], [0.666, 0.334, 0.500], [0.500, 0.500, 0.000], [0.081, 0.417, 0.752], [0.247, 0.247, 0.248], [0.417, 0.081, 0.752], [0.583, 0.919, 0.248], [0.753, 0.753, 0.752], [0.919, 0.583, 0.248]],
  "formation_energy_kj_per_mol_atoms": 5
}

---

[4]
{
  "formula": "BaTi3Ga",
  "functional": "GGA-PBE",
  "state": "optimized geometry",
  "lattice": [[4.960, 0.000, 0.000], [0.000, 4.960, 0.000], [0.000, 0.000, 4.960]],
  "species": ["Ba", "Ti", "Ti", "Ti", "Ga"],
  "frac_coords": [[0.000, 0.000, 0.000], [0.000, 0.000, 0.500], [0.000, 0.500, 0.000], [0.500, 0.000, 0.000], [0.500, 0.500, 0.500]],
  "formation_energy_kj_per_mol_atoms": 170,
  "de_polymorph_mev_per_atom": 1099.2
}

---

[5]
{
  "formula": "ZrTc5",
  "functional": "GGA-PBE",
  "state": "optimized geometry",
  "lattice": [[2.812, 0.000, 0.000], [0.000, 2.812, 0.000], [0.000, 0.000, 11.961]],
  "species": ["Zr", "Tc", "Tc", "Tc", "Tc", "Tc"],
  "frac_coords": [[0.000, 0.000, 0.000], [0.000, 0.000, 0.342], [0.000, 0.000, 0.658], [0.500, 0.500, 0.191], [0.500, 0.500, 0.500], [0.500, 0.500, 0.809]],
  "formation_energy_kj_per_mol_atoms": 8,
  "de_polymorph_mev_per_atom": 59.5
}

---

[6]
{
  "formula": "K2BaCd4",
  "functional": "GGA-PBE",
  "state": "optimized geometry",
  "lattice": [[8.906, -4.336, 0.000], [8.906, 4.336, 0.000], [-0.012, 0.000, 6.500]],
  "species": ["K", "K", "K", "K", "Ba", "Ba", "Cd", "Cd", "Cd", "Cd", "Cd", "Cd", "Cd", "Cd"],
  "frac_coords": [[0.081, 0.358, 0.250], [0.358, 0.081, 0.750], [0.642, 0.919, 0.250], [0.919, 0.642, 0.750], [0.177, 0.823, 0.750], [0.823, 0.177, 0.250], [0.123, 0.704, 0.249], [0.296, 0.877, 0.251], [0.401, 0.401, 0.499], [0.401, 0.401, 0.999], [0.599, 0.599, 0.001], [0.599, 0.599, 0.501], [0.704, 0.123, 0.749], [0.877, 0.296, 0.751]],
  "formation_energy_kj_per_mol_atoms": -15
}

---

no.,density of states at the Fermi level (states/eV per cell),total magnetization (μB/f.u.)
1,7.86,0.00
2,15.43,0.00
3,20.62,1.90
4,3.54,0.87
5,6.70,0.00
6,9.94,0.00